! Y2GaNi3Ge4, optimized geometry, DFT PBE; values from VASP
! SG = P-4m2 (115)
! E = -5.812 eV/atom
&SYSTEM
  ibrav = 0, nat = 10, ntyp = 4
/
ATOMIC_SPECIES
Y 88.91 Y.upf
Ga 69.72 Ga.upf
Ni 58.69 Ni.upf
Ge 72.64 Ge.upf
CELL_PARAMETERS angstrom
4.052 0.000 0.000
0.000 4.052 0.000
0.000 0.000 10.222
ATOMIC_POSITIONS crystal
Y 0.500 0.000 0.242
Y 0.000 0.500 0.758
Ga 0.500 0.500 0.500
Ni 0.000 0.000 0.500
Ni 0.500 0.000 0.875
Ni 0.000 0.500 0.125
Ge 0.500 0.500 0.000
Ge 0.000 0.000 0.000
Ge 0.500 0.000 0.648
Ge 0.000 0.500 0.352

***

! Cu2TcAu, optimized geometry, DFT PBE; values from VASP
! excess energy over the best structure of this formula in the dataset = 117.9 meV/atom
! SG = Pmm2 (25)
! E = -5.178 eV/atom
&SYSTEM
  ibrav = 0, nat = 4, ntyp = 3
/
ATOMIC_SPECIES
Au 196.97 Au.upf
Cu 63.55 Cu.upf
Tc 98.00 Tc.upf
CELL_PARAMETERS angstrom
-0.716 2.238 1.212
-2.945 -1.855 1.687
3.298 -1.293 4.334
ATOMIC_POSITIONS crystal
Au 0.500 0.500 0.758
Cu 0.000 0.000 0.014
Cu 0.500 0.500 0.249
Tc 0.000 0.000 0.479